The following is a DFT calculation (PBE) of a geometry-optimized NaBrO structure.

Cell: 3.700 5.660 5.855 Å, 90.26 106.16 95.89°
Element x y z (fractional)
Na1 0.150 0.037 0.543
Na2 0.308 0.762 0.021
Br1 0.813 0.268 0.996
Br2 0.845 0.526 0.537
O1 0.892 0.683 0.268
O2 0.758 0.986 0.815

Summary:
DOS(E_F) (states/eV per atom): 0.000
ΔE_f (raw) (eV/atom): -0.7777
Volume (Å³/cell): 117.1